# 1
A plane-wave DFT calculation with GGA-PBE was carried out for a relaxed structure of LaCdCu3.

Unit cell a=5.298 b=5.298 c=5.298 alpha=90.00 beta=90.00 gamma=90.00
Fractional coordinates of all 5 atoms:
1 La 0.000 0.000 0.000
2 Cd 0.500 0.500 0.500
3 Cu 0.000 0.000 0.500
4 Cu 0.000 0.500 0.000
5 Cu 0.500 0.000 0.000

- Density: 4.935 g/cm3
- Relative energy among the computed polymorphs: 350 kJ/mol of formula units
- Density of states at the Fermi level: 0.45 states/eV per atom
- Total magnetization: 0.00 Bohr magnetons per cell
- Crystal system: cubic


# 2
A plane-wave DFT calculation with GGA-PBE was carried out for a relaxed structure of HgSb2Ru.

Unit cell a=5.106 b=5.106 c=5.106 alpha=125.46 beta=125.46 gamma=80.77
Fractional coordinates of all 4 atoms:
1 Hg 0.000 0.000 0.000
2 Sb 0.250 0.750 0.500
3 Sb 0.750 0.250 0.500
4 Ru 0.500 0.500 0.000

- Density: 10.636 g/cm3
- Density of states at the Fermi level: 0.62 states/eV per atom
- Total magnetization: 0.00 Bohr magnetons per cell
- Formation energy without anion corrections: 0.41 eV/atom
- Crystal system: tetragonal


no.,volume (Å³/cell)
1,148.7
2,85.1